[1]
LaPmSm14 | the Alexandria database | PBE-GGA | relaxed; energy of formation = 0.4 kJ per mole of atoms; N(E_F) = 1.003 states/eV/atom; total moment = 0.000 μB/cell; raw total energy = -75.69 eV per cell
1.0
7.255 -0.874 0.000
-2.863 6.723 0.000
0.000 0.000 11.781
Sm La Pm
14 1 1
Cartesian
2.363 0.516 2.920 Sm
2.363 0.516 8.861 Sm
0.933 3.873 2.923 Sm
4.556 3.436 8.861 Sm
-1.009 3.037 0.000 Sm
4.556 3.436 2.920 Sm
2.619 2.607 0.000 Sm
5.991 0.075 8.831 Sm
0.680 1.782 5.891 Sm
2.870 4.699 5.891 Sm
0.933 3.873 8.858 Sm
-2.445 6.409 0.000 Sm
5.991 0.075 2.950 Sm
1.194 5.971 0.000 Sm
-0.759 5.143 5.891 La
4.300 1.345 5.891 Pm

***

[2]
LaPm7Sm12 | the Alexandria database | PBE-GGA | relaxed; energy of formation = 57.6 kJ per mole of atoms; N(E_F) = 1.370 states/eV/atom; energy above the most stable polymorph in this dataset = 376 meV/atom; total moment = 0.000 μB/cell; raw total energy = -82.86 eV per cell
1.0
-7.848 -0.094 -6.200
-2.227 -5.157 8.275
2.201 9.444 2.448
Pm Sm La
7 12 1
Cartesian
1.101 4.722 1.224 Pm
-3.924 -0.047 -3.100 Pm
-2.823 4.675 -1.876 Pm
-0.013 2.144 5.362 Pm
-3.937 2.096 2.262 Pm
-1.113 -2.578 4.138 Pm
-5.037 -2.626 1.038 Pm
-6.441 0.749 2.760 Sm
-3.970 1.038 -0.424 Sm
-2.553 -0.245 3.231 Sm
-6.429 -1.371 -2.543 Sm
-3.903 3.155 4.948 Sm
-7.535 -2.842 4.258 Sm
-6.762 5.661 -2.279 Sm
-0.339 7.035 0.266 Sm
-1.111 -1.468 6.803 Sm
-1.432 3.444 1.763 Sm
-5.321 4.438 1.292 Sm
-1.444 5.564 7.066 Sm
0.000 0.000 0.000 La

***

[3]
La3Pm5Sm3 | the Alexandria database | PBE-GGA | relaxed; energy of formation = 66.0 kJ per mole of atoms; N(E_F) = 1.863 states/eV/atom; total moment = 0.002 μB/cell; raw total energy = -45.17 eV per cell
1.0
5.713 0.000 0.000
0.000 8.452 -4.880
0.000 0.000 9.760
La Sm Pm
3 3 5
Cartesian
0.000 3.414 1.971 La
0.000 0.000 5.818 La
0.000 5.038 -2.909 La
2.856 6.197 -3.578 Sm
2.856 2.255 1.302 Sm
2.856 0.000 7.156 Sm
2.856 5.325 3.075 Pm
2.856 3.127 -1.805 Pm
2.856 5.635 0.000 Pm
2.856 0.000 3.611 Pm
2.856 2.817 4.880 Pm

***

[4]
LaPmSm2 | the Alexandria database | PBE-GGA | relaxed; energy of formation = 17.4 kJ per mole of atoms; N(E_F) = 1.549 states/eV/atom; energy above the most stable polymorph in this dataset = 166 meV/atom; total moment = 0.000 μB/cell; raw total energy = -18.40 eV per cell
1.0
6.019 0.000 0.000
0.000 3.718 0.000
-3.010 0.000 6.337
La Sm Pm
1 2 1
Cartesian
3.010 0.000 0.137 La
0.000 0.000 3.024 Sm
0.000 1.859 0.146 Sm
3.010 1.859 3.030 Pm

***

Look up the energy of formation of the fourth one.
17.4 kJ per mole of atoms

***

What is the N(E_F) in the first record?
1.003 states/eV/atom

***

The lowest energy of formation belongs to which entry?
LaPmSm14

***

Repeat the fourth record exactly.
LaPmSm2 | the Alexandria database | PBE-GGA | relaxed; energy of formation = 17.4 kJ per mole of atoms; N(E_F) = 1.549 states/eV/atom; energy above the most stable polymorph in this dataset = 166 meV/atom; total moment = 0.000 μB/cell; raw total energy = -18.40 eV per cell
1.0
6.019 0.000 0.000
0.000 3.718 0.000
-3.010 0.000 6.337
La Sm Pm
1 2 1
Cartesian
3.010 0.000 0.137 La
0.000 0.000 3.024 Sm
0.000 1.859 0.146 Sm
3.010 1.859 3.030 Pm